Entry from the Alexandria database: a relaxed Sr3FeB2O6 crystal (GGA+U).

a = 5.3320 Å, b = 5.3320 Å, c = 7.1618 Å
α = 90.00°, β = 90.00°, γ = 120.00°
Space group P-3m1 (No. 164)
Asymmetric unit:
Sr 0.0000 0.0000 0.0000 [1 per cell]
Sr 0.3333 0.6667 0.6885 [2 per cell]
Fe 0.0000 0.0000 0.5000 [1 per cell]
B 0.3333 0.6667 0.2657 [2 per cell]
O 0.1827 0.3654 0.2750 [6 per cell]

Computed properties:
E (eV per atom): -6.71